[1]
# Pu2Ge3Ir2, relaxed, DFT PBE
# calculated density = 13.47 g/cm3
# E_tot = -9.100 eV per atom
data_Pu2Ge3Ir2
_chemical_formula_sum 'Pu8 Ge12 Ir8'
_symmetry_space_group_name_H-M 'C m c m'
_symmetry_Int_Tables_number 63
_symmetry_space_group_name_Hall '-C 2c 2'
_cell_length_a 4.1647
_cell_length_b 18.1805
_cell_length_c 7.1025
_cell_angle_alpha 90.00
_cell_angle_beta 90.00
_cell_angle_gamma 90.00
loop_
_atom_site_label
_atom_site_fract_x
_atom_site_fract_y
_atom_site_fract_z
_atom_site_occupancy
Pu1 0.0000 0.0564 0.2500 1
Pu2 0.0000 0.1572 0.7500 1
Ge1 0.0000 0.2210 0.2500 1
Ge2 0.0000 0.4368 0.0671 1
Ir1 0.0000 0.3060 0.5471 1

---

[2]
# Pu3Ge4Ir2, relaxed, DFT PBE
# calculated density = 12.66 g/cm3
# E_tot = -9.309 eV per atom
data_Pu3Ge4Ir2
_chemical_formula_sum 'Pu6 Ge8 Ir4'
_symmetry_space_group_name_H-M 'C 1 2/m 1'
_symmetry_Int_Tables_number 12
_cell_length_a 10.8978
_cell_length_b 4.2632
_cell_length_c 8.3687
_cell_angle_alpha 90.00
_cell_angle_beta 108.30
_cell_angle_gamma 90.00
loop_
_symmetry_equiv_pos_as_xyz
'x,y,z'
'-x,-y,-z'
'-x,y,-z'
'x,-y,z'
'x+1/2,y+1/2,z'
'-x+1/2,-y+1/2,-z'
'-x+1/2,y+1/2,-z'
'x+1/2,-y+1/2,z'
loop_
_atom_site_label
_atom_site_fract_x
_atom_site_fract_y
_atom_site_fract_z
_atom_site_occupancy
Pu1 0.0000 0.0000 0.0000 1
Pu2 0.1777 0.5000 0.6398 1
Ge1 0.0287 0.0000 0.3649 1
Ge2 0.2426 0.5000 0.0849 1
Ir1 0.1041 0.5000 0.2705 1

---

[3]
# Pu3Ge3Ir, relaxed, DFT PBE
# calculated density = 12.67 g/cm3
# E_tot = -9.356 eV per atom
data_Pu3Ge3Ir
_chemical_formula_sum 'Pu6 Ge6 Ir2'
_symmetry_space_group_name_H-M 'P 63/m m c'
_symmetry_Int_Tables_number 194
_symmetry_space_group_name_Hall '-P 6c 2c'
_cell_length_a 9.0334
_cell_length_b 9.0334
_cell_length_c 4.2354
_cell_angle_alpha 90.00
_cell_angle_beta 90.00
_cell_angle_gamma 120.00
loop_
_atom_site_label
_atom_site_fract_x
_atom_site_fract_y
_atom_site_fract_z
_atom_site_occupancy
Pu1 0.0765 0.5382 0.2500 1
Ge1 0.1667 0.3333 0.7500 1
Ir1 0.3333 0.6667 0.7500 1

---

[4]
# Pu3Ge4Ir, relaxed, DFT PBE
# calculated density = 11.05 g/cm3
# E_tot = -9.109 eV per atom
data_Pu3Ge4Ir
_chemical_formula_sum 'Pu6 Ge8 Ir2'
_symmetry_space_group_name_H-M 'I m m m'
_symmetry_Int_Tables_number 71
_symmetry_space_group_name_Hall '-I 2 2'
_cell_length_a 4.4119
_cell_length_b 6.4932
_cell_length_c 12.7432
_cell_angle_alpha 90.00
_cell_angle_beta 90.00
_cell_angle_gamma 90.00
loop_
_atom_site_label
_atom_site_fract_x
_atom_site_fract_y
_atom_site_fract_z
_atom_site_occupancy
Pu1 0.0000 0.0000 0.0000 1
Pu2 0.0000 0.5000 0.1683 1
Ge1 0.0000 0.2952 0.3727 1
Ir1 0.0000 0.0000 0.5000 1

---

[5]
# PuGeIr, relaxed, DFT PBE
# calculated density = 14.05 g/cm3
# E_tot = -9.801 eV per atom
data_PuGeIr
_chemical_formula_sum 'Pu1 Ge1 Ir1'
_symmetry_space_group_name_H-M 'P -6 m 2'
_symmetry_Int_Tables_number 187
_symmetry_space_group_name_Hall 'P -6 2'
_cell_length_a 4.3346
_cell_length_b 4.3346
_cell_length_c 3.6950
_cell_angle_alpha 90.00
_cell_angle_beta 90.00
_cell_angle_gamma 120.00
loop_
_atom_site_label
_atom_site_fract_x
_atom_site_fract_y
_atom_site_fract_z
_atom_site_occupancy
Pu1 0.0000 0.0000 0.0000 1
Ge1 0.3333 0.6667 0.5000 1
Ir1 0.6667 0.3333 0.5000 1

---

[6]
# PuGe4Ir6, relaxed, DFT PBE
# calculated density = 14.06 g/cm3
# E_tot = -7.920 eV per atom
data_PuGe4Ir6
_chemical_formula_sum 'Pu2 Ge8 Ir12'
_symmetry_space_group_name_H-M 'I -4 2 m'
_symmetry_Int_Tables_number 121
_symmetry_space_group_name_Hall 'I -4 2'
_cell_length_a 6.5699
_cell_length_b 6.5699
_cell_length_c 9.2344
_cell_angle_alpha 90.00
_cell_angle_beta 90.00
_cell_angle_gamma 90.00
loop_
_atom_site_label
_atom_site_fract_x
_atom_site_fract_y
_atom_site_fract_z
_atom_site_occupancy
Pu1 0.0000 0.0000 0.0000 1
Ge1 0.2039 0.2039 0.3200 1
Ir1 0.0000 0.5000 0.0000 1
Ir2 0.1627 0.1627 0.6009 1

---

[7]
# Pu3Ge3Ir2, relaxed, DFT PBE
# calculated density = 13.45 g/cm3
# E_tot = -9.867 eV per atom
data_Pu3Ge3Ir2
_chemical_formula_sum 'Pu12 Ge12 Ir8'
_symmetry_space_group_name_H-M 'P n m a'
_symmetry_Int_Tables_number 62
_cell_length_a 8.0130
_cell_length_b 14.6223
_cell_length_c 5.6249
_cell_angle_alpha 90.00
_cell_angle_beta 90.00
_cell_angle_gamma 90.00
loop_
_symmetry_equiv_pos_as_xyz
'x,y,z'
'-x,-y,-z'
'-x+1/2,-y,z+1/2'
'x+1/2,y,-z+1/2'
'x+1/2,-y+1/2,-z+1/2'
'-x+1/2,y+1/2,z+1/2'
'-x,y+1/2,-z'
'x,-y+1/2,z'
loop_
_atom_site_label
_atom_site_fract_x
_atom_site_fract_y
_atom_site_fract_z
_atom_site_occupancy
Pu1 0.0374 0.1090 0.1125 1
Pu2 0.1716 0.2500 0.6264 1
Ge1 0.1761 0.7500 0.6262 1
Ge2 0.1811 0.0376 0.6032 1
Ir1 0.1050 0.6091 0.3698 1

---

[8]
# Pu5Ge5Ir2, relaxed, DFT PBE
# calculated density = 13.05 g/cm3
# E_tot = -9.845 eV per atom
data_Pu5Ge5Ir2
_chemical_formula_sum 'Pu10 Ge10 Ir4'
_symmetry_space_group_name_H-M 'C 1 2/m 1'
_symmetry_Int_Tables_number 12
_cell_length_a 15.0907
_cell_length_b 4.4502
_cell_length_c 9.6434
_cell_angle_alpha 90.00
_cell_angle_beta 129.38
_cell_angle_gamma 90.00
loop_
_symmetry_equiv_pos_as_xyz
'x,y,z'
'-x,-y,-z'
'-x,y,-z'
'x,-y,z'
'x+1/2,y+1/2,z'
'-x+1/2,-y+1/2,-z'
'-x+1/2,y+1/2,-z'
'x+1/2,-y+1/2,z'
loop_
_atom_site_label
_atom_site_fract_x
_atom_site_fract_y
_atom_site_fract_z
_atom_site_occupancy
Pu1 0.0000 0.0000 0.0000 1
Pu2 0.1198 0.0000 0.8143 1
Pu3 0.1771 0.0000 0.5184 1
Ge1 0.0000 0.5000 0.5000 1
Ge2 0.0499 0.5000 0.2519 1
Ge3 0.2462 0.5000 0.7670 1
Ir1 0.1542 0.5000 0.0620 1

---

[9]
# PuGe4Ir2, relaxed, DFT PBE
# calculated density = 12.34 g/cm3
# E_tot = -7.697 eV per atom
data_PuGe4Ir2
_chemical_formula_sum 'Pu4 Ge16 Ir8'
_symmetry_space_group_name_H-M 'P n m a'
_symmetry_Int_Tables_number 62
_cell_length_a 17.3821
_cell_length_b 4.2292
_cell_length_c 6.7281
_cell_angle_alpha 90.00
_cell_angle_beta 90.00
_cell_angle_gamma 90.00
loop_
_symmetry_equiv_pos_as_xyz
'x,y,z'
'-x,-y,-z'
'-x+1/2,-y,z+1/2'
'x+1/2,y,-z+1/2'
'x+1/2,-y+1/2,-z+1/2'
'-x+1/2,y+1/2,z+1/2'
'-x,y+1/2,-z'
'x,-y+1/2,z'
loop_
_atom_site_label
_atom_site_fract_x
_atom_site_fract_y
_atom_site_fract_z
_atom_site_occupancy
Pu1 0.1420 0.2500 0.0048 1
Ge1 0.0350 0.7500 0.8675 1
Ge2 0.0664 0.2500 0.4701 1
Ge3 0.1830 0.7500 0.3010 1
Ge4 0.1925 0.7500 0.7254 1
Ir1 0.0323 0.7500 0.2538 1
Ir2 0.2104 0.2500 0.5163 1

---

[10]
# PuGeIr, relaxed, DFT PBE
# calculated density = 13.82 g/cm3
# E_tot = -9.437 eV per atom
data_PuGeIr
_chemical_formula_sum 'Pu2 Ge2 Ir2'
_symmetry_space_group_name_H-M 'I 4 m m'
_symmetry_Int_Tables_number 107
_symmetry_space_group_name_Hall 'I 4 -2'
_cell_length_a 3.7349
_cell_length_b 3.7349
_cell_length_c 8.7680
_cell_angle_alpha 90.00
_cell_angle_beta 90.00
_cell_angle_gamma 90.00
loop_
_atom_site_label
_atom_site_fract_x
_atom_site_fract_y
_atom_site_fract_z
_atom_site_occupancy
Pu1 0.0000 0.0000 0.0000 1
Ge1 0.0000 0.0000 0.3222 1
Ir1 0.0000 0.0000 0.6172 1

---

[11]
# Pu2Ge5Ir3, relaxed, DFT PBE
# calculated density = 13.10 g/cm3
# E_tot = -8.354 eV per atom
data_Pu2Ge5Ir3
_chemical_formula_sum 'Pu8 Ge20 Ir12'
_symmetry_space_group_name_H-M 'C m c 21'
_symmetry_Int_Tables_number 36
_cell_length_a 4.2743
_cell_length_b 24.8327
_cell_length_c 6.8190
_cell_angle_alpha 90.00
_cell_angle_beta 90.00
_cell_angle_gamma 90.00
loop_
_symmetry_equiv_pos_as_xyz
'x,y,z'
'-x,-y,z+1/2'
'-x,y,z'
'x,-y,z+1/2'
'x+1/2,y+1/2,z'
'-x+1/2,-y+1/2,z+1/2'
'-x+1/2,y+1/2,z'
'x+1/2,-y+1/2,z+1/2'
loop_
_atom_site_label
_atom_site_fract_x
_atom_site_fract_y
_atom_site_fract_z
_atom_site_occupancy
Pu1 0.0000 0.0198 0.0000 1
Pu2 0.0000 0.3258 0.0176 1
Ge1 0.0000 0.1010 0.3629 1
Ge2 0.0000 0.2076 0.8123 1
Ge3 0.0000 0.2087 0.2358 1
Ge4 0.0000 0.3801 0.4841 1
Ge5 0.0000 0.4506 0.1643 1
Ir1 0.0000 0.1061 0.7407 1
Ir2 0.0000 0.2786 0.5250 1
Ir3 0.0000 0.4462 0.7801 1

---

[12]
# Pu2Ge3Ir5, relaxed, DFT PBE
# calculated density = 15.46 g/cm3
# E_tot = -9.139 eV per atom
data_Pu2Ge3Ir5
_chemical_formula_sum 'Pu8 Ge12 Ir20'
_symmetry_space_group_name_H-M 'C m c 21'
_symmetry_Int_Tables_number 36
_cell_length_a 4.1082
_cell_length_b 24.9210
_cell_length_c 6.9936
_cell_angle_alpha 90.00
_cell_angle_beta 90.00
_cell_angle_gamma 90.00
loop_
_symmetry_equiv_pos_as_xyz
'x,y,z'
'-x,-y,z+1/2'
'-x,y,z'
'x,-y,z+1/2'
'x+1/2,y+1/2,z'
'-x+1/2,-y+1/2,z+1/2'
'-x+1/2,y+1/2,z'
'x+1/2,-y+1/2,z+1/2'
loop_
_atom_site_label
_atom_site_fract_x
_atom_site_fract_y
_atom_site_fract_z
_atom_site_occupancy
Pu1 0.0000 0.0193 0.0000 1
Pu2 0.0000 0.3426 0.4648 1
Ge1 0.0000 0.1102 0.3112 1
Ge2 0.0000 0.2546 0.9758 1
Ge3 0.0000 0.4489 0.1916 1
Ir1 0.0000 0.1040 0.7068 1
Ir2 0.0000 0.2094 0.2789 1
Ir3 0.0000 0.2111 0.6721 1
Ir4 0.0000 0.3520 0.9869 1
Ir5 0.0000 0.4520 0.7949 1

---

[13]
# Pu6Ge3Ir2, relaxed, DFT PBE
# calculated density = 12.58 g/cm3
# E_tot = -10.666 eV per atom
data_Pu6Ge3Ir2
_chemical_formula_sum 'Pu12 Ge6 Ir4'
_symmetry_space_group_name_H-M 'I 4/m m m'
_symmetry_Int_Tables_number 139
_symmetry_space_group_name_Hall '-I 4 2'
_cell_length_a 4.1254
_cell_length_b 4.1254
_cell_length_c 32.0471
_cell_angle_alpha 90.00
_cell_angle_beta 90.00
_cell_angle_gamma 90.00
loop_
_atom_site_label
_atom_site_fract_x
_atom_site_fract_y
_atom_site_fract_z
_atom_site_occupancy
Pu1 0.0000 0.0000 0.0902 1
Pu2 0.0000 0.5000 0.1779 1
Ge1 0.0000 0.0000 0.0000 1
Ge2 0.0000 0.0000 0.2499 1
Ir1 0.0000 0.0000 0.3920 1

---

[14]
# PuGe2Ir4, relaxed, DFT PBE
# calculated density = 16.28 g/cm3
# E_tot = -8.833 eV per atom
data_PuGe2Ir4
_chemical_formula_sum 'Pu2 Ge4 Ir8'
_symmetry_space_group_name_H-M 'P 42/m n m'
_symmetry_Int_Tables_number 136
_symmetry_space_group_name_Hall '-P 4n 2n'
_cell_length_a 7.7268
_cell_length_b 7.7268
_cell_length_c 3.9571
_cell_angle_alpha 90.00
_cell_angle_beta 90.00
_cell_angle_gamma 90.00
loop_
_atom_site_label
_atom_site_fract_x
_atom_site_fract_y
_atom_site_fract_z
_atom_site_occupancy
Pu1 0.0000 0.0000 0.0000 1
Ge1 0.2237 0.2237 0.5000 1
Ir1 0.0799 0.6577 0.5000 1

---

[15]
# Pu4Ge8Ir, relaxed, DFT PBE
# calculated density = 10.76 g/cm3
# E_tot = -8.299 eV per atom
data_Pu4Ge8Ir
_chemical_formula_sum 'Pu4 Ge8 Ir1'
_symmetry_space_group_name_H-M 'P m m 2'
_symmetry_Int_Tables_number 25
_cell_length_a 4.0899
_cell_length_b 4.2474
_cell_length_c 15.5460
_cell_angle_alpha 90.00
_cell_angle_beta 90.00
_cell_angle_gamma 90.00
loop_
_symmetry_equiv_pos_as_xyz
'x,y,z'
'-x,-y,z'
'-x,y,z'
'x,-y,z'
loop_
_atom_site_label
_atom_site_fract_x
_atom_site_fract_y
_atom_site_fract_z
_atom_site_occupancy
Pu1 0.0000 0.0000 0.0000 1
Pu2 0.0000 0.5000 0.4773 1
Pu3 0.5000 0.0000 0.7884 1
Pu4 0.5000 0.5000 0.2894 1
Ge1 0.0000 0.0000 0.3223 1
Ge2 0.0000 0.0000 0.6144 1
Ge3 0.0000 0.5000 0.1396 1
Ge4 0.0000 0.5000 0.8573 1
Ge5 0.5000 0.0000 0.1496 1
Ge6 0.5000 0.0000 0.4398 1
Ge7 0.5000 0.5000 0.6126 1
Ge8 0.5000 0.5000 0.9638 1
Ir1 0.0000 0.5000 0.7005 1

---

[16]
# Pu8GeIr5, relaxed, DFT PBE
# calculated density = 15.88 g/cm3
# E_tot = -12.050 eV per atom
data_Pu8GeIr5
_chemical_formula_sum 'Pu16 Ge2 Ir10'
_symmetry_space_group_name_H-M 'I -4'
_symmetry_Int_Tables_number 82
_cell_length_a 8.5864
_cell_length_b 8.5864
_cell_length_c 8.4685
_cell_angle_alpha 90.00
_cell_angle_beta 90.00
_cell_angle_gamma 90.00
loop_
_symmetry_equiv_pos_as_xyz
'x,y,z'
'y,-x,-z'
'-x,-y,z'
'-y,x,-z'
'x+1/2,y+1/2,z+1/2'
'y+1/2,-x+1/2,-z+1/2'
'-x+1/2,-y+1/2,z+1/2'
'-y+1/2,x+1/2,-z+1/2'
loop_
_atom_site_label
_atom_site_fract_x
_atom_site_fract_y
_atom_site_fract_z
_atom_site_occupancy
Pu1 0.0700 0.1842 0.3046 1
Pu2 0.0704 0.3287 0.9402 1
Ge1 0.0000 0.0000 0.0000 1
Ir1 0.0000 0.5000 0.2500 1
Ir2 0.1347 0.2477 0.6260 1

---

[17]
# Pu7Ge2Ir2, relaxed, DFT PBE
# calculated density = 14.51 g/cm3
# E_tot = -11.675 eV per atom
data_Pu7Ge2Ir2
_chemical_formula_sum 'Pu14 Ge4 Ir4'
_symmetry_space_group_name_H-M 'C 1 2/m 1'
_symmetry_Int_Tables_number 12
_cell_length_a 10.3161
_cell_length_b 6.6699
_cell_length_c 7.5621
_cell_angle_alpha 90.00
_cell_angle_beta 100.19
_cell_angle_gamma 90.00
loop_
_symmetry_equiv_pos_as_xyz
'x,y,z'
'-x,-y,-z'
'-x,y,-z'
'x,-y,z'
'x+1/2,y+1/2,z'
'-x+1/2,-y+1/2,-z'
'-x+1/2,y+1/2,-z'
'x+1/2,-y+1/2,z'
loop_
_atom_site_label
_atom_site_fract_x
_atom_site_fract_y
_atom_site_fract_z
_atom_site_occupancy
Pu1 0.0000 0.0000 0.0000 1
Pu2 0.0575 0.5000 0.2882 1
Pu3 0.2456 0.2496 0.3023 1
Ge1 0.1853 0.5000 0.9782 1
Ir1 0.0000 0.1887 0.5000 1

---

[18]
# Pu3Ge3Ir2, relaxed, DFT PBE
# calculated density = 13.55 g/cm3
# E_tot = -9.891 eV per atom
data_Pu3Ge3Ir2
_chemical_formula_sum 'Pu12 Ge12 Ir8'
_symmetry_space_group_name_H-M 'C m c m'
_symmetry_Int_Tables_number 63
_symmetry_space_group_name_Hall '-C 2c 2'
_cell_length_a 4.3237
_cell_length_b 10.4202
_cell_length_c 14.5224
_cell_angle_alpha 90.00
_cell_angle_beta 90.00
_cell_angle_gamma 90.00
loop_
_atom_site_label
_atom_site_fract_x
_atom_site_fract_y
_atom_site_fract_z
_atom_site_occupancy
Pu1 0.0000 0.0755 0.1096 1
Pu2 0.0000 0.3486 0.2500 1
Ge1 0.0000 0.3591 0.7500 1
Ge2 0.0000 0.3678 0.0333 1
Ir1 0.0000 0.2057 0.6091 1

---

[19]
# Pu2Ge4Ir3Rh, relaxed, DFT PBE
# calculated density = 13.23 g/cm3
# E_tot = -8.704 eV per atom
data_Pu2Ge4Ir3Rh
_chemical_formula_sum 'Pu2 Ge4 Ir3 Rh1'
_symmetry_space_group_name_H-M 'P -4 m 2'
_symmetry_Int_Tables_number 115
_cell_length_a 4.2398
_cell_length_b 4.2398
_cell_length_c 10.1817
_cell_angle_alpha 90.00
_cell_angle_beta 90.00
_cell_angle_gamma 90.00
loop_
_symmetry_equiv_pos_as_xyz
'x,y,z'
'y,-x,-z'
'-x,-y,z'
'-y,x,-z'
'-x,y,z'
'-y,-x,-z'
'x,-y,z'
'y,x,-z'
loop_
_atom_site_label
_atom_site_fract_x
_atom_site_fract_y
_atom_site_fract_z
_atom_site_occupancy
Pu1 0.0000 0.5000 0.2455 1
Ge1 0.0000 0.0000 0.0000 1
Ge2 0.0000 0.5000 0.6304 1
Ge3 0.5000 0.5000 0.0000 1
Ir1 0.0000 0.5000 0.8706 1
Ir2 0.5000 0.5000 0.5000 1
Rh1 0.0000 0.0000 0.5000 1